This record from Alexandria describes a relaxed FeMo2W crystal. The functional is PBE.

Computed properties:
* calculated density: 11.9 g cm⁻³
* space group: Imm2, No. 44
* ΔE_f: 0.125 eV per atom
* DOS(E_F): 3.1 states/eV/cell
* spin magnetization: 2.13 Bohr magnetons per cell
* DFT total energy: -10.644 eV per atom
* ΔE to the lowest computed polymorph: 63.3 meV per atom

Cell: 5.0874 5.0874 5.0874 Å, 143.73 128.71 64.43°
Fractional positions:
1 Fe 0.0000 0.0000 0.0000
2 Mo 0.2521 0.7521 0.5000
3 Mo 0.5008 0.5008 0.0000
4 W 0.7501 0.2501 0.5000

This record from Alexandria describes a relaxed FeMo2W crystal. The functional is PBE.

Computed properties:
* calculated density: 11.9 g cm⁻³
* space group: Pm, No. 6
* ΔE_f: 0.107 eV per atom
* DOS(E_F): 2.8 states/eV/cell
* spin magnetization: 2.33 Bohr magnetons per cell
* DFT total energy: -10.662 eV per atom
* ΔE to the lowest computed polymorph: 45.8 meV per atom

Cell: 2.6725 4.4060 5.1799 Å, 90.00 99.27 90.00°
Fractional positions:
1 Fe 0.0000 0.0000 0.0000
2 Mo 0.4999 0.0000 0.5014
3 Mo 0.7404 0.5000 0.2484
4 W 0.2506 0.5000 0.7574

This record from Alexandria describes a relaxed Fe3MoW crystal. The functional is PBE.

Computed properties:
* calculated density: 9.2 g cm⁻³
* space group: Pm-3m, No. 221
* ΔE_f: 1.782 eV per atom
* DOS(E_F): 5.3 states/eV/cell
* spin magnetization: 4.63 Bohr magnetons per cell
* DFT total energy: -8.052 eV per atom
* ΔE to the lowest computed polymorph: 0.0 meV per atom

Cell: 4.3280 4.3280 4.3280 Å, 90.00 90.00 90.00°
Fractional positions:
1 Fe 0.0000 0.0000 0.5000
2 Fe 0.0000 0.5000 0.0000
3 Fe 0.5000 0.0000 0.0000
4 Mo 0.0000 0.0000 0.0000
5 W 0.5000 0.5000 0.5000

This record from Alexandria describes a relaxed Fe2MoW crystal. The functional is PBE.

Computed properties:
* calculated density: 12.0 g cm⁻³
* space group: I-4m2, No. 119
* ΔE_f: 0.231 eV per atom
* DOS(E_F): 4.3 states/eV/cell
* spin magnetization: 0.13 Bohr magnetons per cell
* DFT total energy: -9.947 eV per atom

Cell: 4.7305 4.7305 4.7305 Å, 133.96 133.96 67.15°
Fractional positions:
1 Fe 0.0000 0.0000 0.0000
2 Fe 0.7500 0.2500 0.5000
3 Mo 0.2500 0.7500 0.5000
4 W 0.5000 0.5000 0.0000

This record from Alexandria describes a relaxed FeMo2W crystal. The functional is PBE.

Computed properties:
* calculated density: 12.0 g cm⁻³
* space group: Cmm2, No. 35
* ΔE_f: 0.065 eV per atom
* DOS(E_F): 3.1 states/eV/cell
* spin magnetization: 2.15 Bohr magnetons per cell
* DFT total energy: -10.704 eV per atom
* ΔE to the lowest computed polymorph: 3.3 meV per atom

Cell: 2.6977 2.6977 8.6665 Å, 90.00 90.00 108.30°
Fractional positions:
1 Fe 0.0000 0.0000 0.0000
2 Mo 0.0000 0.0000 0.5007
3 Mo 0.5000 0.5000 0.7615
4 W 0.5000 0.5000 0.2386

This record from Alexandria describes a relaxed Fe2MoW crystal. The functional is PBE.

Computed properties:
* calculated density: 11.7 g cm⁻³
* space group: Imm2, No. 44
* ΔE_f: 0.173 eV per atom
* DOS(E_F): 4.3 states/eV/cell
* spin magnetization: 4.10 Bohr magnetons per cell
* DFT total energy: -10.005 eV per atom

Cell: 4.9739 4.9739 4.9739 Å, 144.26 128.79 64.02°
Fractional positions:
1 Fe 0.0000 0.0000 0.0000
2 Fe 0.7597 0.2597 0.5000
3 Mo 0.2526 0.7526 0.5000
4 W 0.5079 0.5079 0.0000

This record from Alexandria describes a relaxed FeMo2W crystal. The functional is PBE.

Computed properties:
* calculated density: 11.9 g cm⁻³
* space group: C2/m, No. 12
* ΔE_f: 0.110 eV per atom
* DOS(E_F): 3.6 states/eV/cell
* spin magnetization: 2.46 Bohr magnetons per cell
* DFT total energy: -10.659 eV per atom
* ΔE to the lowest computed polymorph: 48.5 meV per atom

Cell: 5.1743 5.1743 2.6798 Å, 99.70 99.70 117.38°
Fractional positions:
1 Fe 0.0000 0.0000 0.0000
2 Mo 0.0000 0.5000 0.5000
3 Mo 0.5000 0.0000 0.5000
4 W 0.5000 0.5000 0.0000

This record from Alexandria describes a relaxed Fe2MoW crystal. The functional is PBE.

Computed properties:
* calculated density: 11.9 g cm⁻³
* space group: P4/mmm, No. 123
* ΔE_f: 0.181 eV per atom
* DOS(E_F): 4.1 states/eV/cell
* spin magnetization: 3.68 Bohr magnetons per cell
* DFT total energy: -9.996 eV per atom

Cell: 4.2547 4.2547 3.0195 Å, 90.00 90.00 90.00°
Fractional positions:
1 Fe 0.0000 0.5000 0.0000
2 Fe 0.5000 0.0000 0.0000
3 Mo 0.0000 0.0000 0.5000
4 W 0.5000 0.5000 0.5000

This record from Alexandria describes a relaxed FeMo3W crystal. The functional is PBE.

Computed properties:
* calculated density: 10.2 g cm⁻³
* space group: Pm-3m, No. 221
* ΔE_f: 1.250 eV per atom
* DOS(E_F): 5.0 states/eV/cell
* spin magnetization: 0.00 Bohr magnetons per cell
* DFT total energy: -9.532 eV per atom
* ΔE to the lowest computed polymorph: 0.0 meV per atom

Cell: 4.4048 4.4048 4.4048 Å, 90.00 90.00 90.00°
Fractional positions:
1 Fe 0.0000 0.0000 0.0000
2 Mo 0.0000 0.0000 0.5000
3 Mo 0.0000 0.5000 0.0000
4 Mo 0.5000 0.0000 0.0000
5 W 0.5000 0.5000 0.5000

This record from Alexandria describes a relaxed FeMo2W crystal. The functional is PBE.

Computed properties:
* calculated density: 11.9 g cm⁻³
* space group: Fm-3m, No. 225
* ΔE_f: 0.138 eV per atom
* DOS(E_F): 1.9 states/eV/cell
* spin magnetization: 2.09 Bohr magnetons per cell
* DFT total energy: -10.632 eV per atom
* ΔE to the lowest computed polymorph: 76.1 meV per atom

Cell: 4.3991 4.3991 4.3991 Å, 60.00 60.00 60.00°
Fractional positions:
1 Fe 0.0000 0.0000 0.0000
2 Mo 0.2500 0.2500 0.2500
3 Mo 0.7500 0.7500 0.7500
4 W 0.5000 0.5000 0.5000

This record from Alexandria describes a relaxed FeMo2W crystal. The functional is PBE.

Computed properties:
* calculated density: 12.0 g cm⁻³
* space group: P4mm, No. 99
* ΔE_f: 0.112 eV per atom
* DOS(E_F): 3.1 states/eV/cell
* spin magnetization: 2.01 Bohr magnetons per cell
* DFT total energy: -10.657 eV per atom
* ΔE to the lowest computed polymorph: 50.5 meV per atom

Cell: 3.1445 3.1445 6.0382 Å, 90.00 90.00 90.00°
Fractional positions:
1 Fe 0.0000 0.0000 0.0000
2 Mo 0.0000 0.0000 0.5004
3 Mo 0.5000 0.5000 0.2454
4 W 0.5000 0.5000 0.7624

This record from Alexandria describes a relaxed Fe2MoW crystal. The functional is PBE.

Computed properties:
* calculated density: 11.7 g cm⁻³
* space group: P2/m, No. 10
* ΔE_f: 0.142 eV per atom
* DOS(E_F): 3.3 states/eV/cell
* spin magnetization: 4.06 Bohr magnetons per cell
* DFT total energy: -10.035 eV per atom

Cell: 2.6342 4.1955 5.1433 Å, 90.00 102.35 90.00°
Fractional positions:
1 Fe 0.2491 0.0000 0.2489
2 Fe 0.7509 0.0000 0.7511
3 Mo 0.0000 0.5000 0.5000
4 W 0.5000 0.5000 0.0000